# HoLuNi2 PBE relaxed
# Calculated formation energy (eV per atom): -0.502
# Calculated total energy (eV per atom): -5.561
# Crystal system: orthorhombic
data_HoLuNi2
_chemical_formula_sum 'Ho2 Lu2 Ni4'
_space_group_name_H-M_alt 'P m c 21'
_space_group_IT_number 26
_cell_length_a 4.117
_cell_length_b 5.366
_cell_length_c 6.943
_cell_angle_alpha 90.00
_cell_angle_beta 90.00
_cell_angle_gamma 90.00
loop_
_space_group_symop_operation_xyz
'x,y,z'
'-x,-y,z+1/2'
'-x,y,z'
'x,-y,z+1/2'
loop_
_atom_site_label
_atom_site_type_symbol
_atom_site_fract_x
_atom_site_fract_y
_atom_site_fract_z
_atom_site_occupancy
Ho1 Ho 0.000 0.118 0.000 1
Lu1 Lu 0.500 0.383 0.640 1
Ni1 Ni 0.000 0.380 0.359 1
Ni2 Ni 0.500 0.125 0.284 1

=====

# Ho3LuNi4 PBE relaxed
# Calculated formation energy (eV per atom): -0.489
# Calculated total energy (eV per atom): -5.554
# Crystal system: monoclinic
data_Ho3LuNi4
_chemical_formula_sum 'Ho3 Lu1 Ni4'
_space_group_name_H-M_alt 'P 1 m 1'
_space_group_IT_number 6
_cell_length_a 5.372
_cell_length_b 4.130
_cell_length_c 6.947
_cell_angle_alpha 90.00
_cell_angle_beta 90.17
_cell_angle_gamma 90.00
loop_
_space_group_symop_operation_xyz
'x,y,z'
'x,-y,z'
loop_
_atom_site_label
_atom_site_type_symbol
_atom_site_fract_x
_atom_site_fract_y
_atom_site_fract_z
_atom_site_occupancy
Ho1 Ho 0.000 0.000 0.000 1
Ho2 Ho 0.233 0.000 0.498 1
Ho3 Ho 0.734 0.500 0.639 1
Lu1 Lu 0.500 0.500 0.139 1
Ni1 Ni 0.241 0.500 0.784 1
Ni2 Ni 0.494 0.000 0.860 1
Ni3 Ni 0.736 0.000 0.353 1
Ni4 Ni 0.993 0.500 0.281 1